# 1
Here is Nb2ReAu after structural relaxation from Alexandria. Energies are from GGA-PBE.

Properties
- DFT total energy (eV/cell) = -135.571
- energy of formation from the pure elements (eV/f.u.) = 2.0
- energy relative to the lowest polymorph listed for this composition (eV/atom) = 0.5722

Geometry as CIF:
```
data_Nb2ReAu
_chemical_formula_sum 'Nb8 Re4 Au4'
_cell_length_a 7.333
_cell_length_b 7.333
_cell_length_c 5.583
_cell_angle_alpha 90.00
_cell_angle_beta 90.00
_cell_angle_gamma 90.00
_space_group_name_H-M_alt 'P 1'
_space_group_IT_number 1
loop_
_space_group_symop_operation_xyz
'x,y,z'
loop_
_atom_site_label
_atom_site_fract_x
_atom_site_fract_y
_atom_site_fract_z
Nb1 0.226 0.250 0.125
Nb2 0.250 0.726 0.375
Nb3 0.250 0.774 0.875
Nb4 0.274 0.250 0.625
Nb5 0.726 0.750 0.625
Nb6 0.750 0.226 0.875
Nb7 0.750 0.274 0.375
Nb8 0.774 0.750 0.125
Re1 0.000 0.000 0.000
Re2 0.000 0.500 0.250
Re3 0.500 0.000 0.750
Re4 0.500 0.500 0.500
Au1 0.000 0.000 0.500
Au2 0.000 0.500 0.750
Au3 0.500 0.000 0.250
Au4 0.500 0.500 0.000
```



# 2
Here is V2TcAs after structural relaxation from Alexandria. Energies are from GGA-PBE.

Properties
- DFT total energy (eV/cell) = -34.129
- energy of formation from the pure elements (eV/f.u.) = -0.9

Geometry as CIF:
```
data_V2TcAs
_chemical_formula_sum 'V2 Tc1 As1'
_cell_length_a 3.209
_cell_length_b 3.209
_cell_length_c 5.446
_cell_angle_alpha 90.00
_cell_angle_beta 90.00
_cell_angle_gamma 90.00
_space_group_name_H-M_alt 'P 1'
_space_group_IT_number 1
loop_
_space_group_symop_operation_xyz
'x,y,z'
loop_
_atom_site_label
_atom_site_fract_x
_atom_site_fract_y
_atom_site_fract_z
V1 0.000 0.000 0.236
V2 0.000 0.000 0.764
Tc1 0.500 0.500 0.500
As1 0.500 0.500 0.000
```



# 3
Here is Sm2Al3Tc after structural relaxation from Alexandria. Energies are from GGA-PBE.

Properties
- DFT total energy (eV/cell) = -33.579
- energy of formation from the pure elements (eV/f.u.) = -2.5
- energy relative to the lowest polymorph listed for this composition (eV/atom) = 0.0392

Geometry as CIF:
```
data_Sm2Al3Tc
_chemical_formula_sum 'Sm2 Al3 Tc1'
_cell_length_a 5.507
_cell_length_b 5.507
_cell_length_c 5.507
_cell_angle_alpha 61.31
_cell_angle_beta 61.31
_cell_angle_gamma 61.31
_space_group_name_H-M_alt 'P 1'
_space_group_IT_number 1
loop_
_space_group_symop_operation_xyz
'x,y,z'
loop_
_atom_site_label
_atom_site_fract_x
_atom_site_fract_y
_atom_site_fract_z
Sm1 0.127 0.127 0.127
Sm2 0.873 0.873 0.873
Al1 0.000 0.500 0.500
Al2 0.500 0.000 0.500
Al3 0.500 0.500 0.000
Tc1 0.500 0.500 0.500
```



# 4
Here is NdY5Tl3 after structural relaxation from Alexandria. Energies are from GGA-PBE.

Properties
- DFT total energy (eV/cell) = -93.694
- energy of formation from the pure elements (eV/f.u.) = -2.7

Geometry as CIF:
```
data_NdY5Tl3
_chemical_formula_sum 'Nd2 Y10 Tl6'
_cell_length_a 9.434
_cell_length_b 9.434
_cell_length_c 6.768
_cell_angle_alpha 90.00
_cell_angle_beta 90.00
_cell_angle_gamma 120.00
_space_group_name_H-M_alt 'P 1'
_space_group_IT_number 1
loop_
_space_group_symop_operation_xyz
'x,y,z'
loop_
_atom_site_label
_atom_site_fract_x
_atom_site_fract_y
_atom_site_fract_z
Nd1 0.000 0.000 0.000
Nd2 0.000 0.000 0.500
Y1 0.000 0.329 0.250
Y2 0.000 0.671 0.750
Y3 0.329 0.000 0.250
Y4 0.329 0.329 0.750
Y5 0.333 0.667 0.000
Y6 0.333 0.667 0.500
Y7 0.667 0.333 0.000
Y8 0.667 0.333 0.500
Y9 0.671 0.000 0.750
Y10 0.671 0.671 0.250
Tl1 0.000 0.341 0.750
Tl2 0.000 0.659 0.250
Tl3 0.341 0.000 0.750
Tl4 0.341 0.341 0.250
Tl5 0.659 0.000 0.250
Tl6 0.659 0.659 0.750
```



# 5
Here is Ce2DyAs3Ir4 after structural relaxation from Alexandria. Energies are from GGA-PBE.

Properties
- DFT total energy (eV/cell) = -73.752
- energy of formation from the pure elements (eV/f.u.) = -7.9

Geometry as CIF:
```
data_Ce2DyAs3Ir4
_chemical_formula_sum 'Ce2 Dy1 As3 Ir4'
_cell_length_a 4.116
_cell_length_b 4.116
_cell_length_c 11.533
_cell_angle_alpha 90.00
_cell_angle_beta 90.00
_cell_angle_gamma 90.00
_space_group_name_H-M_alt 'P 1'
_space_group_IT_number 1
loop_
_space_group_symop_operation_xyz
'x,y,z'
loop_
_atom_site_label
_atom_site_fract_x
_atom_site_fract_y
_atom_site_fract_z
Ce1 0.000 0.500 0.229
Ce2 0.500 0.000 0.771
Dy1 0.000 0.000 0.500
As1 0.000 0.500 0.874
As2 0.500 0.000 0.126
As3 0.500 0.500 0.500
Ir1 0.000 0.000 0.000
Ir2 0.000 0.500 0.664
Ir3 0.500 0.000 0.336
Ir4 0.500 0.500 0.000
```



# 6
Here is LaTbNd2Tm2 after structural relaxation from Alexandria. Energies are from GGA-PBE.

Properties
- DFT total energy (eV/cell) = -55.283
- energy of formation from the pure elements (eV/f.u.) = 0.4

Geometry as CIF:
```
data_LaTbNd2Tm2
_chemical_formula_sum 'La2 Tb2 Nd4 Tm4'
_cell_length_a 7.054
_cell_length_b 9.916
_cell_length_c 5.695
_cell_angle_alpha 90.00
_cell_angle_beta 90.00
_cell_angle_gamma 90.00
_space_group_name_H-M_alt 'P 1'
_space_group_IT_number 1
loop_
_space_group_symop_operation_xyz
'x,y,z'
loop_
_atom_site_label
_atom_site_fract_x
_atom_site_fract_y
_atom_site_fract_z
La1 0.000 0.000 0.000
La2 0.500 0.500 0.500
Tb1 0.000 0.500 0.500
Tb2 0.500 0.000 0.000
Nd1 0.246 0.333 0.000
Nd2 0.254 0.833 0.500
Nd3 0.746 0.167 0.500
Nd4 0.754 0.667 0.000
Tm1 0.250 0.166 0.500
Tm2 0.250 0.666 0.000
Tm3 0.750 0.334 0.000
Tm4 0.750 0.834 0.500
```



# 7
Here is Hf2Al3Zn2 after structural relaxation from Alexandria. Energies are from GGA-PBE.

Properties
- DFT total energy (eV/cell) = -66.590
- energy of formation from the pure elements (eV/f.u.) = 0.4
- energy relative to the lowest polymorph listed for this composition (eV/atom) = 0.2732

Geometry as CIF:
```
data_Hf2Al3Zn2
_chemical_formula_sum 'Hf4 Al6 Zn4'
_cell_length_a 7.009
_cell_length_b 7.009
_cell_length_c 7.009
_cell_angle_alpha 109.47
_cell_angle_beta 109.47
_cell_angle_gamma 109.47
_space_group_name_H-M_alt 'P 1'
_space_group_IT_number 1
loop_
_space_group_symop_operation_xyz
'x,y,z'
loop_
_atom_site_label
_atom_site_fract_x
_atom_site_fract_y
_atom_site_fract_z
Hf1 0.000 0.495 0.500
Hf2 0.005 0.005 0.005
Hf3 0.495 0.500 0.000
Hf4 0.500 0.000 0.495
Al1 0.000 0.250 0.750
Al2 0.250 0.250 0.500
Al3 0.250 0.500 0.250
Al4 0.250 0.750 0.000
Al5 0.500 0.250 0.250
Al6 0.750 0.000 0.250
Zn1 0.000 0.874 0.500
Zn2 0.500 0.000 0.874
Zn3 0.626 0.626 0.626
Zn4 0.874 0.500 0.000
```



# 8
Here is RbAcAs after structural relaxation from Alexandria. Energies are from GGA-PBE.

Properties
- DFT total energy (eV/cell) = -11.520
- energy of formation from the pure elements (eV/f.u.) = -1.8

Geometry as CIF:
```
data_RbAcAs
_chemical_formula_sum 'Rb1 Ac1 As1'
_cell_length_a 4.681
_cell_length_b 4.681
_cell_length_c 8.222
_cell_angle_alpha 90.00
_cell_angle_beta 90.00
_cell_angle_gamma 120.00
_space_group_name_H-M_alt 'P 1'
_space_group_IT_number 1
loop_
_space_group_symop_operation_xyz
'x,y,z'
loop_
_atom_site_label
_atom_site_fract_x
_atom_site_fract_y
_atom_site_fract_z
Rb1 0.000 0.000 0.000
Ac1 0.667 0.333 0.548
As1 0.333 0.667 0.710
```



Repeat the fifth record exactly.
Here is Ce2DyAs3Ir4 after structural relaxation from Alexandria. Energies are from GGA-PBE.

Properties
- DFT total energy (eV/cell) = -73.752
- energy of formation from the pure elements (eV/f.u.) = -7.9

Geometry as CIF:
```
data_Ce2DyAs3Ir4
_chemical_formula_sum 'Ce2 Dy1 As3 Ir4'
_cell_length_a 4.116
_cell_length_b 4.116
_cell_length_c 11.533
_cell_angle_alpha 90.00
_cell_angle_beta 90.00
_cell_angle_gamma 90.00
_space_group_name_H-M_alt 'P 1'
_space_group_IT_number 1
loop_
_space_group_symop_operation_xyz
'x,y,z'
loop_
_atom_site_label
_atom_site_fract_x
_atom_site_fract_y
_atom_site_fract_z
Ce1 0.000 0.500 0.229
Ce2 0.500 0.000 0.771
Dy1 0.000 0.000 0.500
As1 0.000 0.500 0.874
As2 0.500 0.000 0.126
As3 0.500 0.500 0.500
Ir1 0.000 0.000 0.000
Ir2 0.000 0.500 0.664
Ir3 0.500 0.000 0.336
Ir4 0.500 0.500 0.000
```



Look up the energy of formation from the pure elements of the third one.
-2.5 eV/f.u.



Number 5 is which compound?
Ce2DyAs3Ir4